# 1
Computed, not measured: an optimized crystal structure of Y2Pa2Co3 at the PBE level of DFT.

Structure (POSCAR):
```
Y2Pa2Co3
1.0
6.2110 -1.7986 0.0000
6.2110 1.7986 0.0000
-5.4252 0.0000 6.7248
Y Pa Co
2 2 3
Direct
0.0690 0.0690 0.3744
0.9310 0.9310 0.6256
0.3197 0.3197 0.8974
0.6803 0.6803 0.1026
0.0000 0.0000 0.0000
0.3604 0.3604 0.2803
0.6396 0.6396 0.7197
```

---

# 2
Computed, not measured: an optimized crystal structure of Y2PaCo4 at the PBE level of DFT.

Structure (POSCAR):
```
Y2PaCo4
1.0
-2.1792 2.1792 6.6972
2.1792 -2.1792 6.6972
2.1792 2.1792 -6.6972
Y Pa Co
2 1 4
Direct
0.2294 0.2294 0.0000
0.7706 0.7706 0.0000
0.5000 0.5000 0.0000
0.1003 0.6003 0.5000
0.3997 0.8997 0.5000
0.6003 0.1003 0.5000
0.8997 0.3997 0.5000
```

---

# 3
Computed, not measured: an optimized crystal structure of YPaCo2 at the PBE level of DFT.

Structure (POSCAR):
```
YPaCo2
1.0
3.3407 0.0000 0.0000
0.0000 3.3407 0.0000
0.0000 0.0000 6.7562
Y Pa Co
1 1 2
Direct
0.0000 0.0000 0.0000
0.0000 0.0000 0.5000
0.5000 0.5000 0.3011
0.5000 0.5000 0.6989
```

---

# 4
Computed, not measured: an optimized crystal structure of Pa2ZnCo2 at the PBE level of DFT.

Structure (POSCAR):
```
Pa2ZnCo2
1.0
7.1677 0.0000 0.0000
0.0000 7.1677 0.0000
0.0000 0.0000 3.4733
Pa Zn Co
4 2 4
Direct
0.1732 0.3268 0.0000
0.3268 0.8268 0.0000
0.6732 0.1732 0.0000
0.8268 0.6732 0.0000
0.0000 0.0000 0.5000
0.5000 0.5000 0.5000
0.1339 0.6339 0.5000
0.3661 0.1339 0.5000
0.6339 0.8661 0.5000
0.8661 0.3661 0.5000
```

---

# 5
Computed, not measured: an optimized crystal structure of Pa2ZnCo4 at the PBE level of DFT.

Structure (POSCAR):
```
Pa2ZnCo4
1.0
-2.2219 2.2219 6.1766
2.2219 -2.2219 6.1766
2.2219 2.2219 -6.1766
Pa Zn Co
2 1 4
Direct
0.1418 0.1418 0.0000
0.8582 0.8582 0.0000
0.5000 0.5000 0.0000
0.0000 0.5000 0.5000
0.3148 0.3148 0.0000
0.5000 0.0000 0.5000
0.6852 0.6852 0.0000
```

---

# 6
Computed, not measured: an optimized crystal structure of Pa3Zn7Co4 at the PBE level of DFT.

Structure (POSCAR):
```
Pa3Zn7Co4
1.0
3.8641 0.0000 0.0000
-1.1587 7.5062 0.0000
-1.6446 -1.7961 7.9282
Pa Zn Co
3 7 4
Direct
0.0000 0.0000 0.0000
0.0063 0.6822 0.2723
0.9937 0.3178 0.7277
0.2314 0.7292 0.6928
0.2771 0.0997 0.4313
0.3679 0.6603 0.9934
0.5000 0.5000 0.5000
0.6321 0.3397 0.0066
0.7229 0.9003 0.5687
0.7686 0.2708 0.3072
0.2471 0.4349 0.1969
0.3395 0.0728 0.7679
0.6605 0.9272 0.2321
0.7529 0.5651 0.8031
```

---

# 7
Computed, not measured: an optimized crystal structure of Pa3Zn9Co2 at the PBE level of DFT.

Structure (POSCAR):
```
Pa3Zn9Co2
1.0
-2.2695 4.7292 5.4796
2.2695 -4.7292 5.4796
2.2695 4.7292 -5.4796
Pa Zn Co
3 9 2
Direct
0.0000 0.0000 0.0000
0.2963 0.2963 0.0000
0.7037 0.7037 0.0000
0.0032 0.3609 0.6424
0.1495 0.8684 0.2811
0.2815 0.6391 0.6424
0.4127 0.1316 0.2811
0.5000 0.0000 0.5000
0.5873 0.8684 0.7189
0.7185 0.3609 0.3576
0.8505 0.1316 0.7189
0.9968 0.6391 0.3576
0.3604 0.5000 0.8604
0.6396 0.5000 0.1396
```

---

# 8
Computed, not measured: an optimized crystal structure of PaZn3Co at the PBE level of DFT.

Structure (POSCAR):
```
PaZn3Co
1.0
4.8211 0.0000 0.0000
0.0000 5.7292 0.0000
-1.9964 0.0000 6.0444
Pa Zn Co
2 6 2
Direct
0.2015 0.2500 0.1197
0.7985 0.7500 0.8803
0.2366 0.0252 0.6754
0.2366 0.4748 0.6754
0.2853 0.7500 0.3714
0.7147 0.2500 0.6286
0.7634 0.5252 0.3246
0.7634 0.9748 0.3246
0.3228 0.7500 0.9949
0.6772 0.2500 0.0051
```

---

Quick rundown of size of the total moment, same order as above: 0.0; 0.0; 0.0; 0.0; 0.4; 0.0; 0.0; 0.0 μB per cell
Quick rundown of ΔE_f, same order as above: -0.276; 0.092; -0.259; -0.380; 0.169; -0.244; -0.148; -0.209 eV/atom